# PBE-GGA LiLa2Ge4Ir3, relaxed
# - ΔE_f: -755 meV per atom
# - Crystal system: tetragonal
data_LiLa2Ge4Ir3
_chemical_formula_sum 'Li1 La2 Ge4 Ir3'
_symmetry_space_group_name_H-M 'P 1'
_symmetry_Int_Tables_number 1
_cell_length_a 4.383
_cell_length_b 4.383
_cell_length_c 10.021
_cell_angle_alpha 90.00
_cell_angle_beta 90.00
_cell_angle_gamma 90.00
loop_
_symmetry_equiv_pos_as_xyz
'x,y,z'
loop_
_atom_site_label
_atom_site_type_symbol
_atom_site_fract_x
_atom_site_fract_y
_atom_site_fract_z
_atom_site_occupancy
Li1 Li 0.000 0.000 0.000 1
La1 La 0.000 0.500 0.745 1
La2 La 0.500 0.000 0.255 1
Ge1 Ge 0.000 0.000 0.500 1
Ge2 Ge 0.000 0.500 0.128 1
Ge3 Ge 0.500 0.000 0.872 1
Ge4 Ge 0.500 0.500 0.500 1
Ir1 Ir 0.000 0.500 0.374 1
Ir2 Ir 0.500 0.000 0.626 1
Ir3 Ir 0.500 0.500 0.000 1

---

# PBE-GGA LiLa2Ge3Ir4, relaxed
# - ΔE_f: -754 meV per atom
# - Crystal system: tetragonal
data_LiLa2Ge3Ir4
_chemical_formula_sum 'Li1 La2 Ge3 Ir4'
_symmetry_space_group_name_H-M 'P 1'
_symmetry_Int_Tables_number 1
_cell_length_a 4.189
_cell_length_b 4.189
_cell_length_c 10.683
_cell_angle_alpha 90.00
_cell_angle_beta 90.00
_cell_angle_gamma 90.00
loop_
_symmetry_equiv_pos_as_xyz
'x,y,z'
loop_
_atom_site_label
_atom_site_type_symbol
_atom_site_fract_x
_atom_site_fract_y
_atom_site_fract_z
_atom_site_occupancy
Li1 Li 0.000 0.000 0.000 1
La1 La 0.000 0.500 0.755 1
La2 La 0.500 0.000 0.245 1
Ge1 Ge 0.000 0.500 0.373 1
Ge2 Ge 0.500 0.000 0.627 1
Ge3 Ge 0.500 0.500 0.000 1
Ir1 Ir 0.000 0.000 0.500 1
Ir2 Ir 0.000 0.500 0.139 1
Ir3 Ir 0.500 0.000 0.861 1
Ir4 Ir 0.500 0.500 0.500 1

---

# PBE-GGA LaMgGe2Ir2, relaxed
# - ΔE_f: -657 meV per atom
# - Crystal system: trigonal
data_LaMgGe2Ir2
_chemical_formula_sum 'La1 Mg1 Ge2 Ir2'
_symmetry_space_group_name_H-M 'P 1'
_symmetry_Int_Tables_number 1
_cell_length_a 4.374
_cell_length_b 4.374
_cell_length_c 6.974
_cell_angle_alpha 90.00
_cell_angle_beta 90.00
_cell_angle_gamma 120.00
loop_
_symmetry_equiv_pos_as_xyz
'x,y,z'
loop_
_atom_site_label
_atom_site_type_symbol
_atom_site_fract_x
_atom_site_fract_y
_atom_site_fract_z
_atom_site_occupancy
La1 La 0.000 0.000 0.000 1
Mg1 Mg 0.000 0.000 0.500 1
Ge1 Ge 0.333 0.667 0.699 1
Ge2 Ge 0.667 0.333 0.301 1
Ir1 Ir 0.333 0.667 0.311 1
Ir2 Ir 0.667 0.333 0.689 1

---

# PBE-GGA La2MgGe4Ir3, relaxed
# - ΔE_f: -727 meV per atom
# - Crystal system: tetragonal
data_La2MgGe4Ir3
_chemical_formula_sum 'La2 Mg1 Ge4 Ir3'
_symmetry_space_group_name_H-M 'P 1'
_symmetry_Int_Tables_number 1
_cell_length_a 4.348
_cell_length_b 4.348
_cell_length_c 10.468
_cell_angle_alpha 90.00
_cell_angle_beta 90.00
_cell_angle_gamma 90.00
loop_
_symmetry_equiv_pos_as_xyz
'x,y,z'
loop_
_atom_site_label
_atom_site_type_symbol
_atom_site_fract_x
_atom_site_fract_y
_atom_site_fract_z
_atom_site_occupancy
La1 La 0.000 0.500 0.236 1
La2 La 0.500 0.000 0.764 1
Mg1 Mg 0.000 0.000 0.500 1
Ge1 Ge 0.000 0.000 0.000 1
Ge2 Ge 0.000 0.500 0.643 1
Ge3 Ge 0.500 0.000 0.357 1
Ge4 Ge 0.500 0.500 0.000 1
Ir1 Ir 0.000 0.500 0.879 1
Ir2 Ir 0.500 0.000 0.121 1
Ir3 Ir 0.500 0.500 0.500 1

---

# PBE-GGA La2MnGe3Ir4, relaxed
# - ΔE_f: -713 meV per atom
# - Crystal system: tetragonal
data_La2MnGe3Ir4
_chemical_formula_sum 'La2 Mn1 Ge3 Ir4'
_symmetry_space_group_name_H-M 'P 1'
_symmetry_Int_Tables_number 1
_cell_length_a 4.224
_cell_length_b 4.224
_cell_length_c 10.612
_cell_angle_alpha 90.00
_cell_angle_beta 90.00
_cell_angle_gamma 90.00
loop_
_symmetry_equiv_pos_as_xyz
'x,y,z'
loop_
_atom_site_label
_atom_site_type_symbol
_atom_site_fract_x
_atom_site_fract_y
_atom_site_fract_z
_atom_site_occupancy
La1 La 0.000 0.500 0.248 1
La2 La 0.500 0.000 0.752 1
Mn1 Mn 0.500 0.500 0.000 1
Ge1 Ge 0.000 0.000 0.000 1
Ge2 Ge 0.000 0.500 0.628 1
Ge3 Ge 0.500 0.000 0.372 1
Ir1 Ir 0.000 0.000 0.500 1
Ir2 Ir 0.000 0.500 0.864 1
Ir3 Ir 0.500 0.000 0.136 1
Ir4 Ir 0.500 0.500 0.500 1

---

# PBE-GGA La2MnGe6Ir, relaxed
# - ΔE_f: -434 meV per atom
# - Crystal system: orthorhombic
data_La2MnGe6Ir
_chemical_formula_sum 'La4 Mn2 Ge12 Ir2'
_symmetry_space_group_name_H-M 'P 1'
_symmetry_Int_Tables_number 1
_cell_length_a 6.545
_cell_length_b 8.945
_cell_length_c 7.141
_cell_angle_alpha 90.00
_cell_angle_beta 90.00
_cell_angle_gamma 90.00
loop_
_symmetry_equiv_pos_as_xyz
'x,y,z'
loop_
_atom_site_label
_atom_site_type_symbol
_atom_site_fract_x
_atom_site_fract_y
_atom_site_fract_z
_atom_site_occupancy
La1 La 0.250 0.004 0.238 1
La2 La 0.250 0.496 0.238 1
La3 La 0.750 0.504 0.762 1
La4 La 0.750 0.996 0.762 1
Mn1 Mn 0.250 0.750 0.898 1
Mn2 Mn 0.750 0.250 0.102 1
Ge1 Ge 0.057 0.250 0.926 1
Ge2 Ge 0.062 0.750 0.578 1
Ge3 Ge 0.250 0.504 0.750 1
Ge4 Ge 0.250 0.996 0.750 1
Ge5 Ge 0.438 0.750 0.578 1
Ge6 Ge 0.443 0.250 0.926 1
Ge7 Ge 0.557 0.750 0.074 1
Ge8 Ge 0.562 0.250 0.422 1
Ge9 Ge 0.750 0.004 0.250 1
Ge10 Ge 0.750 0.496 0.250 1
Ge11 Ge 0.938 0.250 0.422 1
Ge12 Ge 0.943 0.750 0.074 1
Ir1 Ir 0.250 0.250 0.604 1
Ir2 Ir 0.750 0.750 0.396 1

---

# PBE-GGA LaGeIrN, relaxed
# - Crystal system: tetragonal
# - Uncorrected formation energy: -0.90 eV per atom
data_LaGeIrN
_chemical_formula_sum 'La2 Ge2 Ir2 N2'
_symmetry_space_group_name_H-M 'P 1'
_symmetry_Int_Tables_number 1
_cell_length_a 4.090
_cell_length_b 4.090
_cell_length_c 8.502
_cell_angle_alpha 90.00
_cell_angle_beta 90.00
_cell_angle_gamma 90.00
loop_
_symmetry_equiv_pos_as_xyz
'x,y,z'
loop_
_atom_site_label
_atom_site_type_symbol
_atom_site_fract_x
_atom_site_fract_y
_atom_site_fract_z
_atom_site_occupancy
La1 La 0.250 0.250 0.156 1
La2 La 0.750 0.750 0.844 1
Ge1 Ge 0.250 0.250 0.658 1
Ge2 Ge 0.750 0.750 0.342 1
Ir1 Ir 0.250 0.750 0.500 1
Ir2 Ir 0.750 0.250 0.500 1
N1 N 0.250 0.250 0.881 1
N2 N 0.750 0.750 0.119 1

---

# PBE-GGA La5Ge2IrN, relaxed
# - Crystal system: orthorhombic
# - Uncorrected formation energy: -0.90 eV per atom
data_La5Ge2IrN
_chemical_formula_sum 'La10 Ge4 Ir2 N2'
_symmetry_space_group_name_H-M 'P 1'
_symmetry_Int_Tables_number 1
_cell_length_a 9.298
_cell_length_b 9.298
_cell_length_c 10.982
_cell_angle_alpha 90.00
_cell_angle_beta 90.00
_cell_angle_gamma 150.68
loop_
_symmetry_equiv_pos_as_xyz
'x,y,z'
loop_
_atom_site_label
_atom_site_type_symbol
_atom_site_fract_x
_atom_site_fract_y
_atom_site_fract_z
_atom_site_occupancy
La1 La 0.025 0.975 0.500 1
La2 La 0.264 0.736 0.224 1
La3 La 0.334 0.666 0.920 1
La4 La 0.361 0.639 0.531 1
La5 La 0.472 0.528 0.255 1
La6 La 0.528 0.472 0.755 1
La7 La 0.639 0.361 0.031 1
La8 La 0.666 0.334 0.420 1
La9 La 0.736 0.264 0.724 1
La10 La 0.975 0.025 0.000 1
Ge1 Ge 0.092 0.908 0.225 1
Ge2 Ge 0.144 0.856 0.826 1
Ge3 Ge 0.856 0.144 0.326 1
Ge4 Ge 0.908 0.092 0.725 1
Ir1 Ir 0.186 0.814 0.588 1
Ir2 Ir 0.814 0.186 0.088 1
N1 N 0.499 0.501 0.470 1
N2 N 0.501 0.499 0.970 1

---

# PBE-GGA La2NbGeIr, relaxed
# - ΔE_f: 449 meV per atom
# - Crystal system: tetragonal
data_La2NbGeIr
_chemical_formula_sum 'La2 Nb1 Ge1 Ir1'
_symmetry_space_group_name_H-M 'P 1'
_symmetry_Int_Tables_number 1
_cell_length_a 5.509
_cell_length_b 5.509
_cell_length_c 4.771
_cell_angle_alpha 90.00
_cell_angle_beta 90.00
_cell_angle_gamma 90.00
loop_
_symmetry_equiv_pos_as_xyz
'x,y,z'
loop_
_atom_site_label
_atom_site_type_symbol
_atom_site_fract_x
_atom_site_fract_y
_atom_site_fract_z
_atom_site_occupancy
La1 La 0.000 0.500 0.000 1
La2 La 0.500 0.000 0.000 1
Nb1 Nb 0.000 0.000 0.000 1
Ge1 Ge 0.500 0.500 0.500 1
Ir1 Ir 0.000 0.000 0.500 1

---

# PBE-GGA La2NbGe3Ir4, relaxed
# - ΔE_f: -764 meV per atom
# - Crystal system: tetragonal
data_La2NbGe3Ir4
_chemical_formula_sum 'La2 Nb1 Ge3 Ir4'
_symmetry_space_group_name_H-M 'P 1'
_symmetry_Int_Tables_number 1
_cell_length_a 4.256
_cell_length_b 4.256
_cell_length_c 10.711
_cell_angle_alpha 90.00
_cell_angle_beta 90.00
_cell_angle_gamma 90.00
loop_
_symmetry_equiv_pos_as_xyz
'x,y,z'
loop_
_atom_site_label
_atom_site_type_symbol
_atom_site_fract_x
_atom_site_fract_y
_atom_site_fract_z
_atom_site_occupancy
La1 La 0.000 0.500 0.243 1
La2 La 0.500 0.000 0.757 1
Nb1 Nb 0.000 0.000 0.500 1
Ge1 Ge 0.000 0.500 0.873 1
Ge2 Ge 0.500 0.000 0.127 1
Ge3 Ge 0.500 0.500 0.500 1
Ir1 Ir 0.000 0.000 0.000 1
Ir2 Ir 0.000 0.500 0.639 1
Ir3 Ir 0.500 0.000 0.361 1
Ir4 Ir 0.500 0.500 0.000 1

---

# PBE-GGA La2NiGe3Ir4, relaxed
# - ΔE_f: -706 meV per atom
# - Crystal system: tetragonal
data_La2NiGe3Ir4
_chemical_formula_sum 'La2 Ni1 Ge3 Ir4'
_symmetry_space_group_name_H-M 'P 1'
_symmetry_Int_Tables_number 1
_cell_length_a 4.231
_cell_length_b 4.231
_cell_length_c 10.410
_cell_angle_alpha 90.00
_cell_angle_beta 90.00
_cell_angle_gamma 90.00
loop_
_symmetry_equiv_pos_as_xyz
'x,y,z'
loop_
_atom_site_label
_atom_site_type_symbol
_atom_site_fract_x
_atom_site_fract_y
_atom_site_fract_z
_atom_site_occupancy
La1 La 0.000 0.500 0.244 1
La2 La 0.500 0.000 0.756 1
Ni1 Ni 0.500 0.500 0.000 1
Ge1 Ge 0.000 0.000 0.000 1
Ge2 Ge 0.000 0.500 0.630 1
Ge3 Ge 0.500 0.000 0.370 1
Ir1 Ir 0.000 0.000 0.500 1
Ir2 Ir 0.000 0.500 0.869 1
Ir3 Ir 0.500 0.000 0.131 1
Ir4 Ir 0.500 0.500 0.500 1

---

# PBE-GGA La2Ni3Ge4Ir, relaxed
# - ΔE_f: -724 meV per atom
# - Crystal system: tetragonal
data_La2Ni3Ge4Ir
_chemical_formula_sum 'La2 Ni3 Ge4 Ir1'
_symmetry_space_group_name_H-M 'P 1'
_symmetry_Int_Tables_number 1
_cell_length_a 4.208
_cell_length_b 4.208
_cell_length_c 10.004
_cell_angle_alpha 90.00
_cell_angle_beta 90.00
_cell_angle_gamma 90.00
loop_
_symmetry_equiv_pos_as_xyz
'x,y,z'
loop_
_atom_site_label
_atom_site_type_symbol
_atom_site_fract_x
_atom_site_fract_y
_atom_site_fract_z
_atom_site_occupancy
La1 La 0.000 0.500 0.243 1
La2 La 0.500 0.000 0.757 1
Ni1 Ni 0.000 0.500 0.877 1
Ni2 Ni 0.500 0.000 0.123 1
Ni3 Ni 0.500 0.500 0.500 1
Ge1 Ge 0.000 0.000 0.000 1
Ge2 Ge 0.000 0.500 0.634 1
Ge3 Ge 0.500 0.000 0.366 1
Ge4 Ge 0.500 0.500 0.000 1
Ir1 Ir 0.000 0.000 0.500 1